Here is a relaxed BaSr2TlPd crystal from the Alexandria database. Energies are from PBE.

Formation energy from the elements: -1.42 eV/f.u.
Theoretical density: 5.341 g/cm3

Unit cell a=5.919 b=5.919 c=5.531 alpha=90.00 beta=90.00 gamma=90.00
Fractional coordinates of all 5 atoms:
Ba 0.000 0.000 0.000
Sr 0.000 0.500 0.500
Sr 0.500 0.000 0.500
Tl 0.500 0.500 0.000
Pd 0.500 0.500 0.500